[1]
# ThCd9Pd3 (PBE, relaxed)
data_ThCd9Pd3
_chemical_formula_sum 'Th2 Cd18 Pd6'
_symmetry_space_group_name_H-M 'C 1 2/m 1'
_symmetry_Int_Tables_number 12
_cell_length_a 5.645
_cell_length_b 13.869
_cell_length_c 7.477
_cell_angle_alpha 90.00
_cell_angle_beta 112.06
_cell_angle_gamma 90.00
loop_
_symmetry_equiv_pos_as_xyz
'x,y,z'
'-x,-y,-z'
'-x,y,-z'
'x,-y,z'
'x+1/2,y+1/2,z'
'-x+1/2,-y+1/2,-z'
'-x+1/2,y+1/2,-z'
'x+1/2,-y+1/2,z'
loop_
_atom_site_label
_atom_site_type_symbol
_atom_site_fract_x
_atom_site_fract_y
_atom_site_fract_z
Th1 Th 0.000 0.000 0.000
Cd1 Cd 0.000 0.000 0.500
Cd2 Cd 0.101 0.391 0.211
Cd3 Cd 0.178 0.175 0.336
Pd1 Pd 0.000 0.500 0.500
Pd2 Pd 0.250 0.250 0.000
# final energy: -2.655 eV per atom
# DOS(E_F): 6.89 states/eV/f.u.


[2]
# PuCd4Hg4 (PBE, relaxed)
data_PuCd4Hg4
_chemical_formula_sum 'Pu2 Cd8 Hg8'
_symmetry_space_group_name_H-M 'I 4/m m m'
_symmetry_Int_Tables_number 139
_symmetry_space_group_name_Hall '-I 4 2'
_cell_length_a 10.025
_cell_length_b 10.025
_cell_length_c 4.364
_cell_angle_alpha 90.00
_cell_angle_beta 90.00
_cell_angle_gamma 90.00
loop_
_atom_site_label
_atom_site_type_symbol
_atom_site_fract_x
_atom_site_fract_y
_atom_site_fract_z
Pu1 Pu 0.000 0.000 0.000
Cd1 Cd 0.000 0.338 0.000
Hg1 Hg 0.170 0.170 0.500
# final energy: -2.179 eV per atom
# DOS(E_F): 14.56 states/eV/f.u.